## LiAg2Au (meta-GGA SCAN)

Data for LiAg2Au at its PBEsol-relaxed geometry.

It has space group Cmmm (No. 65), with a = 5.6432 Å, b = 8.0595 Å, c = 2.8403 Å, α = 90.00°, β = 90.00° and γ = 90.00°. The distinct sites, in fractional coordinates, are Li at (0.0000, 0.0000, 0.0000), Ag at (0.2500, 0.2500, 0.5000) and Au at (0.0000, 0.5000, 0.0000).

The energy of formation comes out at -199 meV per atom. The total magnetization is 0.000 Bohr magnetons per cell.